Record 1
A plane-wave DFT calculation with GGA-PBE was carried out for a geometry-optimized YNi2Bi2 structure.

abc: 5.794 5.794 5.794
angles: 130.69 130.69 72.30
Atoms (fractional coordinates):
Y: 0.000 0.000 0.000
Ni: 0.374 0.374 0.000
Ni: 0.626 0.626 0.000
Bi: 0.250 0.750 0.500
Bi: 0.750 0.250 0.500

Size of the total moment (μB/f.u.): 0.00
Uncorrected energy (eV per atom): -5.293
Space-group type: I4/mmm (139)



Record 2
A plane-wave DFT calculation with GGA-PBE was carried out for a geometry-optimized Y6Ni2Bi structure.

abc: 8.545 8.545 8.545
angles: 113.61 108.82 106.07
Atoms (fractional coordinates):
Y: 0.019 0.228 0.791
Y: 0.181 0.297 0.478
Y: 0.181 0.703 0.885
Y: 0.326 0.014 0.688
Y: 0.326 0.638 0.312
Y: 0.437 0.228 0.209
Y: 0.563 0.772 0.791
Y: 0.674 0.362 0.688
Y: 0.674 0.986 0.312
Y: 0.819 0.297 0.115
Y: 0.819 0.703 0.522
Y: 0.981 0.772 0.209
Ni: 0.123 0.623 0.500
Ni: 0.355 0.000 0.355
Ni: 0.645 0.000 0.645
Ni: 0.877 0.377 0.500
Bi: 0.000 0.000 0.000
Bi: 0.500 0.500 0.000

Size of the total moment (μB/f.u.): 0.00
Uncorrected energy (eV per atom): -6.411
Space-group type: Immm (71)



Record 3
A plane-wave DFT calculation with GGA-PBE was carried out for a geometry-optimized Y6NiBi3 structure.

abc: 9.353 9.353 7.445
angles: 90.00 90.00 103.01
Atoms (fractional coordinates):
Y: 0.008 0.992 0.500
Y: 0.093 0.598 0.417
Y: 0.243 0.757 0.944
Y: 0.294 0.377 0.925
Y: 0.377 0.294 0.425
Y: 0.402 0.907 0.417
Y: 0.598 0.093 0.917
Y: 0.623 0.706 0.925
Y: 0.706 0.623 0.425
Y: 0.757 0.243 0.444
Y: 0.907 0.402 0.917
Y: 0.992 0.008 0.000
Ni: 0.142 0.858 0.243
Ni: 0.858 0.142 0.743
Bi: 0.074 0.290 0.246
Bi: 0.290 0.074 0.746
Bi: 0.395 0.605 0.614
Bi: 0.605 0.395 0.114
Bi: 0.710 0.926 0.246
Bi: 0.926 0.710 0.746

Size of the total moment (μB/f.u.): 1.38
Uncorrected energy (eV per atom): -6.027
Space-group type: Cmc2_1 (36)



Record 4
A plane-wave DFT calculation with GGA-PBE was carried out for a geometry-optimized Y2NiBi2 structure.

abc: 7.280 7.280 4.834
angles: 90.00 90.00 90.00
Atoms (fractional coordinates):
Y: 0.167 0.333 0.000
Y: 0.333 0.833 0.000
Y: 0.667 0.167 0.000
Y: 0.833 0.667 0.000
Ni: 0.000 0.000 0.500
Ni: 0.500 0.500 0.500
Bi: 0.153 0.653 0.500
Bi: 0.347 0.153 0.500
Bi: 0.653 0.847 0.500
Bi: 0.847 0.347 0.500

Size of the total moment (μB/f.u.): 0.00
Uncorrected energy (eV per atom): -5.646
Space-group type: P4/mbm (127)



Record 5
A plane-wave DFT calculation with GGA-PBE was carried out for a geometry-optimized YNiBi2 structure.

abc: 10.084 10.084 10.084
angles: 20.42 20.42 20.42
Atoms (fractional coordinates):
Y: 0.000 0.000 0.000
Ni: 0.500 0.500 0.500
Bi: 0.107 0.107 0.107
Bi: 0.893 0.893 0.893

Size of the total moment (μB/f.u.): 0.00
Uncorrected energy (eV per atom): -4.911
Space-group type: R-3m (166)



Record 6
A plane-wave DFT calculation with GGA-PBE was carried out for a geometry-optimized YNi2Bi2 structure.

abc: 6.327 6.327 6.327
angles: 138.31 138.31 60.43
Atoms (fractional coordinates):
Y: 0.000 0.000 0.000
Ni: 0.250 0.750 0.500
Ni: 0.750 0.250 0.500
Bi: 0.362 0.362 0.000
Bi: 0.638 0.638 0.000

Size of the total moment (μB/f.u.): 0.00
Uncorrected energy (eV per atom): -5.304
Space-group type: I4/mmm (139)